<one>
Entry from the Alexandria database: a geometry-optimized La3PI2 structure (PBE-GGA).

```
La3PI2
1.0
4.1666 0.0000 -0.7984
-0.4200 5.8382 -2.1918
-0.5895 -0.3115 8.1950
La I P
3 2 1
Direct
0.0000 0.0000 0.0000
0.6289 0.6289 0.2578
0.3711 0.3711 0.7422
0.6797 0.1797 0.3594
0.3203 0.8203 0.6406
0.0000 0.5000 0.0000
```

Size of the total moment   0.0 μB/f.u.
Space group   Immm


<two>
Entry from the Alexandria database: a geometry-optimized La3PI2 structure (PBE-GGA).

```
La3PI2
1.0
-5.9766 -1.0971 -4.2693
1.1000 -7.1981 2.6299
-2.9279 5.0013 5.1336
La I P
6 4 2
Direct
0.4837 0.6171 0.7626
0.5163 0.3829 0.2374
0.0163 0.2374 0.3829
0.9837 0.7626 0.6171
0.0000 0.5000 0.0000
0.5000 0.0000 0.5000
0.2500 0.9276 0.0724
0.2500 0.2270 0.7730
0.7500 0.0724 0.9276
0.7500 0.7730 0.2270
0.7500 0.4028 0.5972
0.2500 0.5972 0.4028
```

Size of the total moment   0.0 μB/f.u.
Space group   C2/c


The structure with the most favorable energy is <one>; the runner-up is 12 meV per atom above it.